# 1
# PBE CuPd3Pt5, optimized geometry
# calculated total energy = -184.7 eV for the cell shown
data_CuPd3Pt5
_chemical_formula_sum 'Cu4 Pd12 Pt20'
_cell_length_a 7.3448
_cell_length_b 7.3448
_cell_length_c 11.0756
_cell_angle_alpha 90.00
_cell_angle_beta 90.00
_cell_angle_gamma 90.00
_space_group_name_H-M_alt 'I 4/m c m'
_space_group_IT_number 140
_space_group_name_Hall '-I 4 2c'
loop_
_atom_site_label
_atom_site_type_symbol
_atom_site_fract_x
_atom_site_fract_y
_atom_site_fract_z
_atom_site_occupancy
Cu1 Cu 0.0000 0.5000 0.2500 1
Pd1 Pd 0.0000 0.0000 0.2500 1
Pd2 Pd 0.1150 0.3850 0.0000 1
Pt1 Pt 0.0000 0.0000 0.0000 1
Pt2 Pt 0.1978 0.3022 0.3599 1

# 2
# PBE Cu4Pd3Pt2, optimized geometry
# distance to the lowest polymorph of the same formula = 0 meV per atom
data_Cu4Pd3Pt2
_chemical_formula_sum 'Cu8 Pd6 Pt4'
_cell_length_a 8.3584
_cell_length_b 3.8925
_cell_length_c 8.0664
_cell_angle_alpha 90.00
_cell_angle_beta 105.67
_cell_angle_gamma 90.00
_space_group_name_H-M_alt 'C 1 2/m 1'
_space_group_IT_number 12
loop_
_space_group_symop_operation_xyz
'x,y,z'
'-x,-y,-z'
'-x,y,-z'
'x,-y,z'
'x+1/2,y+1/2,z'
'-x+1/2,-y+1/2,-z'
'-x+1/2,y+1/2,-z'
'x+1/2,-y+1/2,z'
loop_
_atom_site_label
_atom_site_type_symbol
_atom_site_fract_x
_atom_site_fract_y
_atom_site_fract_z
_atom_site_occupancy
Cu1 Cu 0.9997 0.0000 0.1674 1
Cu2 Cu 0.1662 0.5000 0.3899 1
Pd1 Pd 0.0000 0.0000 0.5000 1
Pd2 Pd 0.1655 0.5000 0.0614 1
Pt1 Pt 0.1673 0.5000 0.7183 1

# 3
# PBE Cu3Pd2Pt5, optimized geometry
# distance to the lowest polymorph of the same formula = 135 meV per atom
data_Cu3Pd2Pt5
_chemical_formula_sum 'Cu12 Pd8 Pt20'
_cell_length_a 10.1890
_cell_length_b 12.1713
_cell_length_c 5.2157
_cell_angle_alpha 90.00
_cell_angle_beta 90.00
_cell_angle_gamma 90.00
_space_group_name_H-M_alt 'I b a m'
_space_group_IT_number 72
_space_group_name_Hall '-I 2 2c'
loop_
_atom_site_label
_atom_site_type_symbol
_atom_site_fract_x
_atom_site_fract_y
_atom_site_fract_z
_atom_site_occupancy
Cu1 Cu 0.0000 0.0000 0.2500 1
Cu2 Cu 0.1452 0.3499 0.0000 1
Pd1 Pd 0.1222 0.3007 0.5000 1
Pt1 Pt 0.0000 0.5000 0.2500 1
Pt2 Pt 0.0972 0.1564 0.0000 1
Pt3 Pt 0.2408 0.0000 0.2500 1

# 4
# PBE Cu3Pd4Pt4, optimized geometry
# distance to the lowest polymorph of the same formula = 0 meV per atom
data_Cu3Pd4Pt4
_chemical_formula_sum 'Cu6 Pd8 Pt8'
_cell_length_a 2.7177
_cell_length_b 7.0983
_cell_length_c 17.3905
_cell_angle_alpha 90.00
_cell_angle_beta 90.00
_cell_angle_gamma 90.00
_space_group_name_H-M_alt 'I m m m'
_space_group_IT_number 71
_space_group_name_Hall '-I 2 2'
loop_
_atom_site_label
_atom_site_type_symbol
_atom_site_fract_x
_atom_site_fract_y
_atom_site_fract_z
_atom_site_occupancy
Cu1 Cu 0.0000 0.0000 0.0000 1
Cu2 Cu 0.0000 0.5000 0.1078 1
Pd1 Pd 0.0000 0.0000 0.2606 1
Pd2 Pd 0.0000 0.1913 0.5000 1
Pt1 Pt 0.0000 0.3120 0.3549 1

# 5
# PBE CuPd2Pt2, optimized geometry
# distance to the lowest polymorph of the same formula = 65 meV per atom
data_CuPd2Pt2
_chemical_formula_sum 'Cu3 Pd6 Pt6'
_cell_length_a 4.4229
_cell_length_b 4.4229
_cell_length_c 13.3877
_cell_angle_alpha 90.00
_cell_angle_beta 90.00
_cell_angle_gamma 120.00
_space_group_name_H-M_alt 'R -3 m'
_space_group_IT_number 166
_space_group_name_Hall '-R 3 2"'
loop_
_atom_site_label
_atom_site_type_symbol
_atom_site_fract_x
_atom_site_fract_y
_atom_site_fract_z
_atom_site_occupancy
Cu1 Cu 0.0000 0.0000 0.0000 1
Pd1 Pd 0.0000 0.0000 0.3967 1
Pt1 Pt 0.0000 0.0000 0.1916 1

# 6
# PBE Cu2Pd6Pt, optimized geometry
# distance to the lowest polymorph of the same formula = 0 meV per atom
data_Cu2Pd6Pt
_chemical_formula_sum 'Cu4 Pd12 Pt2'
_cell_length_a 8.2713
_cell_length_b 8.2713
_cell_length_c 3.8896
_cell_angle_alpha 90.00
_cell_angle_beta 90.00
_cell_angle_gamma 90.00
_space_group_name_H-M_alt 'P 42/m n m'
_space_group_IT_number 136
_space_group_name_Hall '-P 4n 2n'
loop_
_atom_site_label
_atom_site_type_symbol
_atom_site_fract_x
_atom_site_fract_y
_atom_site_fract_z
_atom_site_occupancy
Cu1 Cu 0.1673 0.1673 0.0000 1
Pd1 Pd 0.0000 0.3304 0.5000 1
Pd2 Pd 0.1644 0.8356 0.0000 1
Pt1 Pt 0.0000 0.0000 0.5000 1